[1]
{"formula": "K2Li2CeS4", "functional": "PBE", "state": "relaxed", "cell": [[-2.769, -1.940, 2.384], [-0.773, -5.309, -5.217], [6.782, -0.866, 3.583]], "species": ["K", "K", "S", "S", "S", "S", "Ce", "Li", "Li"], "frac_coords": [[0.139, 0.564, 0.278], [0.861, 0.436, 0.722], [0.804, 0.833, 0.609], [0.196, 0.167, 0.391], [0.484, 0.231, 0.967], [0.516, 0.769, 0.033], [0.000, 0.000, 0.000], [0.318, 0.010, 0.636], [0.682, 0.990, 0.364]], "formation_energy_uncorrected_ev_per_fu": -13.590, "dft_energy_ev_per_atom": -4.673}

[2]
{"formula": "Er6Tm2Pb", "functional": "PBE", "state": "relaxed", "cell": [[4.792, 0.000, 0.244], [0.000, 10.572, 0.000], [-0.538, 0.000, 10.558]], "species": ["Er", "Er", "Er", "Er", "Er", "Er", "Er", "Er", "Er", "Er", "Er", "Er", "Tm", "Tm", "Tm", "Tm", "Pb", "Pb"], "frac_coords": [[0.000, 0.337, 0.163], [0.500, 0.500, 0.337], [0.500, 0.500, 0.663], [0.500, 0.163, 0.000], [0.500, 0.837, 0.337], [0.000, 0.337, 0.500], [0.500, 0.837, 0.000], [0.000, 0.000, 0.163], [0.000, 0.663, 0.837], [0.500, 0.163, 0.663], [0.000, 0.663, 0.500], [0.000, 0.000, 0.837], [0.500, 0.164, 0.336], [0.500, 0.836, 0.664], [0.000, 0.664, 0.164], [0.000, 0.336, 0.836], [0.000, 0.000, 0.500], [0.500, 0.500, 0.000]], "formation_enthalpy_0k_mev_per_atom": -90, "dft_energy_ev_per_atom": -4.537}

[3]
{"formula": "NdAg2Br6", "functional": "PBE", "state": "relaxed", "cell": [[7.198, 0.000, 0.000], [3.599, 6.233, 0.000], [3.599, 2.078, 7.333]], "species": ["Nd", "Br", "Br", "Br", "Br", "Br", "Br", "Ag", "Ag"], "frac_coords": [[0.332, 0.332, 0.003], [0.392, 0.108, 0.756], [0.943, 0.226, 0.243], [0.108, 0.744, 0.756], [0.226, 0.587, 0.243], [0.587, 0.943, 0.243], [0.744, 0.392, 0.756], [0.595, 0.595, 0.216], [0.738, 0.738, 0.786]], "formation_energy_uncorrected_ev_per_fu": -7.962, "dft_energy_ev_per_atom": -3.163}